An optimized crystal structure of Er7InIr2. Source: the Alexandria database, functional PBE-GGA.

Cell lengths 8.773, 13.601, 5.239 Å; angles 90.00, 90.00, 90.00 degrees
Space group Cmmm (No. 65)
Inequivalent atoms, fractional coordinates:
Er 0.000 0.000 0.000 [2 per cell]
Er 0.000 0.217 0.500 [4 per cell]
Er 0.187 0.370 0.000 [8 per cell]
In 0.000 0.500 0.500 [2 per cell]
Ir 0.000 0.203 0.000 [4 per cell]

Computed properties:
energy relative to the elements: -3.23 eV per formula unit
E: -5.563 eV/atom
crystal system: orthorhombic
V: 313 Å³/f.u.
DOS(E_F): 18.48 states/eV/cell

***

An optimized crystal structure of Pu2PdPt. Source: the Alexandria database, functional PBE-GGA.

Cell lengths 4.1250, 4.1250, 19.8513 Å; angles 90.00, 90.00, 120.00 degrees
Space group R-3m (No. 166, hexagonal axes)
Inequivalent atoms, fractional coordinates:
Pu 0.0000 0.0000 0.2479 [6 per cell]
Pd 0.0000 0.0000 0.0000 [3 per cell]
Pt 0.0000 0.0000 0.5000 [3 per cell]

Computed properties:
energy relative to the elements: -1.95 eV per formula unit
E: -10.462 eV/atom
crystal system: trigonal
V: 98 Å³/f.u.
DOS(E_F): 64.23 states/eV/cell

***

An optimized crystal structure of Pm3Dy5Tm2. Source: the Alexandria database, functional PBE-GGA.

Cell lengths 10.700, 15.852, 9.410 Å; angles 90.00, 124.35, 90.00 degrees
Space group C2/c (No. 15)
Inequivalent atoms, fractional coordinates:
Pm 0.000 0.234 0.250 [4 per cell]
Pm 0.142 0.124 0.045 [8 per cell]
Dy 0.000 0.027 0.250 [4 per cell]
Dy 0.000 0.272 0.750 [4 per cell]
Dy 0.000 0.469 0.750 [4 per cell]
Dy 0.236 0.388 0.226 [8 per cell]
Tm 0.154 0.383 0.547 [8 per cell]

Computed properties:
energy relative to the elements: 1.95 eV per formula unit
E: -4.426 eV/atom
crystal system: monoclinic
V: 329 Å³/f.u.
DOS(E_F): 69.49 states/eV/cell

***

An optimized crystal structure of ZrMoRh3. Source: the Alexandria database, functional PBE-GGA.

Cell lengths 4.658, 4.658, 4.658 Å; angles 90.00, 90.00, 90.00 degrees
Space group Pm-3m (No. 221)
Inequivalent atoms, fractional coordinates:
Zr 0.000 0.000 0.000 [1 per cell]
Mo 0.500 0.500 0.500 [1 per cell]
Rh 0.000 0.500 0.500 [3 per cell]

Computed properties:
energy relative to the elements: 3.47 eV per formula unit
polymorph energy (0 for the lowest one): 0.0 meV per atom
E: -7.593 eV/atom
crystal system: cubic
V: 101 Å³/f.u.
DOS(E_F): 5.72 states/eV/cell

***

An optimized crystal structure of Nb4FeIr. Source: the Alexandria database, functional PBE-GGA.

Cell lengths 4.622, 3.991, 6.177 Å; angles 90.00, 100.80, 90.00 degrees
Space group P2/m (No. 10)
Inequivalent atoms, fractional coordinates:
Nb 0.014 0.000 0.274 [2 per cell]
Nb 0.462 0.500 0.738 [2 per cell]
Fe 0.500 0.000 0.500 [1 per cell]
Ir 0.000 0.500 0.000 [1 per cell]

Computed properties:
energy relative to the elements: 0.80 eV per formula unit
E: -9.467 eV/atom
crystal system: monoclinic
V: 112 Å³/f.u.
DOS(E_F): 5.04 states/eV/cell

***

An optimized crystal structure of Hf4ReBi. Source: the Alexandria database, functional PBE-GGA.

Cell lengths 8.276, 12.366, 5.645 Å; angles 90.00, 110.61, 90.00 degrees
Space group C2/c (No. 15)
Inequivalent atoms, fractional coordinates:
Hf 0.112 0.178 0.068 [8 per cell]
Hf 0.221 0.413 0.355 [8 per cell]
Re 0.000 0.001 0.250 [4 per cell]
Bi 0.000 0.383 0.750 [4 per cell]

Computed properties:
energy relative to the elements: -0.67 eV per formula unit
E: -9.468 eV/atom
crystal system: monoclinic
V: 135 Å³/f.u.
DOS(E_F): 24.00 states/eV/cell

***

An optimized crystal structure of K2GaSi. Source: the Alexandria database, functional PBE-GGA.

Cell lengths 10.616, 8.098, 5.824 Å; angles 90.00, 90.00, 90.00 degrees
Space group Cmcm (No. 63)
Inequivalent atoms, fractional coordinates:
K 0.170 0.148 0.250 [8 per cell]
Ga 0.000 0.500 0.000 [4 per cell]
Si 0.000 0.259 0.750 [4 per cell]

Computed properties:
polymorph energy (0 for the lowest one): 88.2 meV per atom
E: -2.640 eV/atom
crystal system: orthorhombic
formation energy from raw total energies: 21 meV/atom
V: 125 Å³/f.u.
DOS(E_F): 8.65 states/eV/cell

***

An optimized crystal structure of RbZnPb3. Source: the Alexandria database, functional PBE-GGA.

Cell lengths 6.497, 7.477, 7.087 Å; angles 90.00, 90.02, 90.00 degrees
Space group Pm (No. 6)
Inequivalent atoms, fractional coordinates:
Rb 0.000 0.000 0.000 [1 per cell]
Rb 0.325 0.500 0.499 [1 per cell]
Zn 0.534 0.000 0.266 [1 per cell]
Zn 0.789 0.500 0.765 [1 per cell]
Pb 0.403 0.000 0.637 [1 per cell]
Pb 0.488 0.279 0.995 [2 per cell]
Pb 0.836 0.221 0.495 [2 per cell]
Pb 0.921 0.500 0.137 [1 per cell]

Computed properties:
energy relative to the elements: 0.12 eV per formula unit
polymorph energy (0 for the lowest one): 79.5 meV per atom
E: -2.649 eV/atom
crystal system: monoclinic
V: 172 Å³/f.u.
DOS(E_F): 3.27 states/eV/cell

***

An optimized crystal structure of Ac3Ga2N6. Source: the Alexandria database, functional PBE-GGA.

Cell lengths 3.984, 3.984, 21.731 Å; angles 90.00, 90.00, 90.00 degrees
Space group I4/mmm (No. 139)
Inequivalent atoms, fractional coordinates:
Ac 0.000 0.000 0.000 [2 per cell]
Ac 0.000 0.000 0.183 [4 per cell]
Ga 0.000 0.000 0.392 [4 per cell]
N 0.000 0.000 0.302 [4 per cell]
N 0.000 0.500 0.084 [8 per cell]

Computed properties:
E: -6.711 eV/atom
crystal system: tetragonal
formation energy from raw total energies: -499 meV/atom
V: 172 Å³/f.u.
DOS(E_F): 14.97 states/eV/cell

***

An optimized crystal structure of BaSmZnSn. Source: the Alexandria database, functional PBE-GGA.

Cell lengths 7.920, 7.920, 7.920 Å; angles 90.00, 90.00, 90.00 degrees
Space group F-43m (No. 216)
Inequivalent atoms, fractional coordinates:
Ba 0.000 0.000 0.000 [4 per cell]
Sm 0.000 0.000 0.500 [4 per cell]
Zn 0.250 0.250 0.250 [4 per cell]
Sn 0.250 0.250 0.750 [4 per cell]

Computed properties:
energy relative to the elements: -1.39 eV per formula unit
E: -3.328 eV/atom
crystal system: cubic
V: 124 Å³/f.u.
DOS(E_F): 16.66 states/eV/cell

***

An optimized crystal structure of HfCoIr2. Source: the Alexandria database, functional PBE-GGA.

Cell lengths 3.870, 3.870, 17.616 Å; angles 90.00, 90.00, 90.00 degrees
Space group I-42d (No. 122)
Inequivalent atoms, fractional coordinates:
Hf 0.000 0.000 0.000 [4 per cell]
Co 0.000 0.000 0.500 [4 per cell]
Ir 0.210 0.250 0.625 [8 per cell]

Computed properties:
energy relative to the elements: -0.02 eV per formula unit
E: -8.700 eV/atom
crystal system: tetragonal
V: 66 Å³/f.u.
DOS(E_F): 19.69 states/eV/cell

***

An optimized crystal structure of TcSbNO2. Source: the Alexandria database, functional PBE-GGA.

Cell lengths 3.979, 3.979, 3.947 Å; angles 90.00, 90.00, 90.00 degrees
Space group P4/mmm (No. 123)
Inequivalent atoms, fractional coordinates:
Tc 0.000 0.000 0.000 [1 per cell]
Sb 0.500 0.500 0.500 [1 per cell]
N 0.000 0.000 0.500 [1 per cell]
O 0.000 0.500 0.000 [2 per cell]

Computed properties:
E: -6.805 eV/atom
crystal system: tetragonal
formation energy from raw total energies: -259 meV/atom
V: 62 Å³/f.u.
DOS(E_F): 3.14 states/eV/cell

***

An optimized crystal structure of Hf2HgAs2. Source: the Alexandria database, functional PBE-GGA.

Cell lengths 7.642, 7.642, 3.446 Å; angles 90.00, 90.00, 90.00 degrees
Space group P4/mbm (No. 127)
Inequivalent atoms, fractional coordinates:
Hf 0.147 0.353 0.000 [4 per cell]
Hg 0.000 0.000 0.500 [2 per cell]
As 0.143 0.643 0.500 [4 per cell]

Computed properties:
energy relative to the elements: -2.26 eV per formula unit
polymorph energy (0 for the lowest one): 111.1 meV per atom
E: -6.354 eV/atom
crystal system: tetragonal
V: 101 Å³/f.u.
DOS(E_F): 3.40 states/eV/cell

***

An optimized crystal structure of Ca2MnOs. Source: the Alexandria database, functional PBE-GGA.

Cell lengths 2.990, 4.451, 6.353 Å; angles 90.00, 90.00, 90.00 degrees
Space group Pmmm (No. 47)
Inequivalent atoms, fractional coordinates:
Ca 0.000 0.000 0.237 [2 per cell]
Mn 0.500 0.500 0.500 [1 per cell]
Os 0.500 0.500 0.000 [1 per cell]

Computed properties:
energy relative to the elements: 2.63 eV per formula unit
polymorph energy (0 for the lowest one): 320.0 meV per atom
E: -5.442 eV/atom
crystal system: orthorhombic
V: 85 Å³/f.u.
DOS(E_F): 3.66 states/eV/cell

***

An optimized crystal structure of NpCu3Br9. Source: the Alexandria database, functional PBE-GGA.

Cell lengths 18.571, 9.397, 13.543 Å; angles 90.00, 127.94, 90.00 degrees
Space group Cc (No. 9)
Inequivalent atoms, fractional coordinates:
Np 0.000 0.220 0.000 [4 per cell]
Cu 0.144 0.127 0.844 [4 per cell]
Cu 0.231 0.411 0.730 [4 per cell]
Cu 0.351 0.080 0.657 [4 per cell]
Br 0.006 0.086 0.823 [4 per cell]
Br 0.118 0.021 0.168 [4 per cell]
Br 0.127 0.364 0.769 [4 per cell]
Br 0.149 0.374 0.078 [4 per cell]
Br 0.277 0.301 0.621 [4 per cell]
Br 0.301 0.112 0.016 [4 per cell]
Br 0.356 0.453 0.421 [4 per cell]
Br 0.394 0.058 0.346 [4 per cell]
Br 0.489 0.175 0.679 [4 per cell]

Computed properties:
E: -3.729 eV/atom
crystal system: monoclinic
formation energy from raw total energies: -630 meV/atom
V: 466 Å³/f.u.
DOS(E_F): 44.58 states/eV/cell

***

An optimized crystal structure of AcScCo. Source: the Alexandria database, functional PBE-GGA.

Cell lengths 20.638, 4.583, 6.931 Å; angles 90.00, 100.04, 90.00 degrees
Space group C2/m (No. 12)
Inequivalent atoms, fractional coordinates:
Ac 0.074 0.000 0.261 [4 per cell]
Ac 0.094 0.500 0.779 [4 per cell]
Sc 0.215 0.000 0.598 [4 per cell]
Sc 0.229 0.000 0.117 [4 per cell]
Co 0.163 0.500 0.466 [4 per cell]
Co 0.179 0.500 0.145 [4 per cell]

Computed properties:
energy relative to the elements: -0.32 eV per formula unit
E: -5.957 eV/atom
crystal system: monoclinic
V: 81 Å³/f.u.
DOS(E_F): 25.88 states/eV/cell

***

An optimized crystal structure of KSi2Ag. Source: the Alexandria database, functional PBE-GGA.

Cell lengths 6.944, 6.944, 6.944 Å; angles 90.00, 90.00, 90.00 degrees
Space group F-43m (No. 216)
Inequivalent atoms, fractional coordinates:
K 0.000 0.000 0.000 [4 per cell]
Si 0.000 0.000 0.500 [4 per cell]
Si 0.250 0.250 0.250 [4 per cell]
Ag 0.250 0.250 0.750 [4 per cell]

Computed properties:
polymorph energy (0 for the lowest one): 451.5 meV per atom
E: -3.090 eV/atom
crystal system: cubic
formation energy from raw total energies: 609 meV/atom
V: 84 Å³/f.u.
DOS(E_F): 5.07 states/eV/cell

***

An optimized crystal structure of Pa2MnCrN5. Source: the Alexandria database, functional PBE-GGA.

Cell lengths 3.306, 13.286, 9.211 Å; angles 90.00, 90.00, 90.00 degrees
Space group Cmc2_1 (No. 36)
Inequivalent atoms, fractional coordinates:
Pa 0.000 0.128 0.000 [4 per cell]
Pa 0.000 0.129 0.614 [4 per cell]
Mn 0.000 0.208 0.321 [4 per cell]
Cr 0.000 0.429 0.778 [4 per cell]
N 0.000 0.051 0.361 [4 per cell]
N 0.000 0.299 0.961 [4 per cell]
N 0.000 0.303 0.681 [4 per cell]
N 0.000 0.358 0.312 [4 per cell]
N 0.000 0.491 0.596 [4 per cell]

Computed properties:
E: -9.884 eV/atom
crystal system: orthorhombic
formation energy from raw total energies: -1061 meV/atom
V: 101 Å³/f.u.
DOS(E_F): 15.33 states/eV/cell

***

An optimized crystal structure of VCdSi2Te. Source: the Alexandria database, functional PBE-GGA.

Cell lengths 4.867, 4.867, 5.276 Å; angles 90.00, 90.00, 90.00 degrees
Space group P4/mmm (No. 123)
Inequivalent atoms, fractional coordinates:
V 0.000 0.000 0.000 [1 per cell]
Cd 0.000 0.000 0.500 [1 per cell]
Si 0.000 0.500 0.500 [2 per cell]
Te 0.500 0.500 0.000 [1 per cell]

Computed properties:
E: -3.426 eV/atom
crystal system: tetragonal
formation energy from raw total energies: 1379 meV/atom
V: 125 Å³/f.u.
DOS(E_F): 7.08 states/eV/cell

***

An optimized crystal structure of Sr4TeAs2. Source: the Alexandria database, functional PBE-GGA.

Cell lengths 9.428, 9.428, 13.224 Å; angles 90.00, 90.00, 90.00 degrees
Space group I4_1/amd (No. 141, origin choice 2)
Inequivalent atoms, fractional coordinates:
Sr 0.000 0.035 0.266 [16 per cell]
Te 0.000 0.250 0.875 [4 per cell]
As 0.000 0.000 0.500 [8 per cell]

Computed properties:
E: -3.987 eV/atom
crystal system: tetragonal
formation energy from raw total energies: -1249 meV/atom
V: 294 Å³/f.u.

***

An optimized crystal structure of Pm3Bi2. Source: the Alexandria database, functional PBE-GGA.

Cell lengths 6.292, 6.292, 16.244 Å; angles 90.00, 90.00, 90.00 degrees
Space group I4_1/amd (No. 141, origin choice 2)
Inequivalent atoms, fractional coordinates:
Pm 0.000 0.000 0.000 [8 per cell]
Pm 0.000 0.250 0.375 [4 per cell]
Bi 0.000 0.250 0.177 [8 per cell]

Computed properties:
energy relative to the elements: -3.30 eV per formula unit
polymorph energy (0 for the lowest one): 0.0 meV per atom
E: -5.063 eV/atom
crystal system: tetragonal
V: 161 Å³/f.u.
DOS(E_F): 18.78 states/eV/cell

***

An optimized crystal structure of CsMn2Cl6. Source: the Alexandria database, functional PBE-GGA.

Cell lengths 6.0826, 6.0826, 7.9210 Å; angles 90.00, 90.00, 120.00 degrees
Space group P-31m (No. 162)
Inequivalent atoms, fractional coordinates:
Cs 0.0000 0.0000 0.0000 [1 per cell]
Mn 0.3333 0.6667 0.5000 [2 per cell]
Cl 0.0000 0.3714 0.6654 [6 per cell]

Computed properties:
E: -4.338 eV/atom
crystal system: trigonal
formation energy from raw total energies: -974 meV/atom
V: 254 Å³/f.u.
DOS(E_F): 7.36 states/eV/cell

***

An optimized crystal structure of La2BiMo. Source: the Alexandria database, functional PBE-GGA.

Cell lengths 8.586, 8.586, 6.199 Å; angles 90.00, 90.00, 90.00 degrees
Space group I-42d (No. 122)
Inequivalent atoms, fractional coordinates:
La 0.181 0.250 0.125 [8 per cell]
Bi 0.000 0.000 0.500 [4 per cell]
Mo 0.000 0.000 0.000 [4 per cell]

Computed properties:
energy relative to the elements: 0.72 eV per formula unit
E: -5.962 eV/atom
crystal system: tetragonal
V: 114 Å³/f.u.
DOS(E_F): 16.24 states/eV/cell